1.
# CaMnFe2Os (PBE, optimized geometry)
# total energy = -0.2316 hartree per atom
data_CaMnFe2Os
_chemical_formula_sum 'Ca1 Mn1 Fe2 Os1'
_cell_length_a 4.2034
_cell_length_b 4.2034
_cell_length_c 4.7312
_cell_angle_alpha 90.00
_cell_angle_beta 90.00
_cell_angle_gamma 90.00
_space_group_name_H-M_alt 'P 4/m m m'
_space_group_IT_number 123
_space_group_name_Hall '-P 4 2'
loop_
_atom_site_label
_atom_site_type_symbol
_atom_site_fract_x
_atom_site_fract_y
_atom_site_fract_z
_atom_site_occupancy
Ca1 Ca 0.0000 0.0000 0.0000 1
Mn1 Mn 0.0000 0.0000 0.5000 1
Fe1 Fe 0.0000 0.5000 0.5000 1
Os1 Os 0.5000 0.5000 0.0000 1

2.
# CaMnFeP2 (PBE, optimized geometry)
# total energy = -0.2531 hartree per atom
data_CaMnFeP2
_chemical_formula_sum 'Ca2 Mn2 Fe2 P4'
_cell_length_a 3.8682
_cell_length_b 3.8682
_cell_length_c 9.8962
_cell_angle_alpha 90.00
_cell_angle_beta 90.00
_cell_angle_gamma 90.00
_space_group_name_H-M_alt 'I -4 m 2'
_space_group_IT_number 119
_space_group_name_Hall 'I -4 -2'
loop_
_atom_site_label
_atom_site_type_symbol
_atom_site_fract_x
_atom_site_fract_y
_atom_site_fract_z
_atom_site_occupancy
Ca1 Ca 0.0000 0.0000 0.0000 1
Mn1 Mn 0.0000 0.5000 0.2500 1
Fe1 Fe 0.0000 0.5000 0.7500 1
P1 P 0.0000 0.0000 0.3592 1

3.
# CaMnFe2Pb (PBE, optimized geometry)
# total energy = -0.1939 hartree per atom
data_CaMnFe2Pb
_chemical_formula_sum 'Ca1 Mn1 Fe2 Pb1'
_cell_length_a 5.0021
_cell_length_b 5.0021
_cell_length_c 5.1137
_cell_angle_alpha 90.00
_cell_angle_beta 90.00
_cell_angle_gamma 90.00
_space_group_name_H-M_alt 'P 4/m m m'
_space_group_IT_number 123
_space_group_name_Hall '-P 4 2'
loop_
_atom_site_label
_atom_site_type_symbol
_atom_site_fract_x
_atom_site_fract_y
_atom_site_fract_z
_atom_site_occupancy
Ca1 Ca 0.0000 0.0000 0.0000 1
Mn1 Mn 0.5000 0.5000 0.0000 1
Fe1 Fe 0.0000 0.5000 0.5000 1
Pb1 Pb 0.5000 0.5000 0.5000 1

4.
# CaScMnFe2 (PBE, optimized geometry)
# total energy = -0.2177 hartree per atom
data_CaScMnFe2
_chemical_formula_sum 'Ca1 Sc1 Mn1 Fe2'
_cell_length_a 4.6251
_cell_length_b 4.6251
_cell_length_c 4.9298
_cell_angle_alpha 90.00
_cell_angle_beta 90.00
_cell_angle_gamma 90.00
_space_group_name_H-M_alt 'P 4/m m m'
_space_group_IT_number 123
_space_group_name_Hall '-P 4 2'
loop_
_atom_site_label
_atom_site_type_symbol
_atom_site_fract_x
_atom_site_fract_y
_atom_site_fract_z
_atom_site_occupancy
Ca1 Ca 0.0000 0.0000 0.0000 1
Sc1 Sc 0.5000 0.5000 0.5000 1
Mn1 Mn 0.5000 0.5000 0.0000 1
Fe1 Fe 0.0000 0.5000 0.5000 1

5.
# CaMnFe2Te (PBE, optimized geometry)
# total energy = -0.1943 hartree per atom
# uncorrected formation energy = 0.960 eV/atom
data_CaMnFe2Te
_chemical_formula_sum 'Ca1 Mn1 Fe2 Te1'
_cell_length_a 4.8037
_cell_length_b 4.8037
_cell_length_c 5.7044
_cell_angle_alpha 90.00
_cell_angle_beta 90.00
_cell_angle_gamma 90.00
_space_group_name_H-M_alt 'P 4/m m m'
_space_group_IT_number 123
_space_group_name_Hall '-P 4 2'
loop_
_atom_site_label
_atom_site_type_symbol
_atom_site_fract_x
_atom_site_fract_y
_atom_site_fract_z
_atom_site_occupancy
Ca1 Ca 0.0000 0.0000 0.0000 1
Mn1 Mn 0.5000 0.5000 0.0000 1
Fe1 Fe 0.0000 0.5000 0.5000 1
Te1 Te 0.0000 0.0000 0.5000 1

6.
# CaZrMn2Fe (PBE, optimized geometry)
# total energy = -0.2567 hartree per atom
data_CaZrMn2Fe
_chemical_formula_sum 'Ca1 Zr1 Mn2 Fe1'
_cell_length_a 4.8095
_cell_length_b 4.8095
_cell_length_c 4.5805
_cell_angle_alpha 90.00
_cell_angle_beta 90.00
_cell_angle_gamma 90.00
_space_group_name_H-M_alt 'P 4/m m m'
_space_group_IT_number 123
_space_group_name_Hall '-P 4 2'
loop_
_atom_site_label
_atom_site_type_symbol
_atom_site_fract_x
_atom_site_fract_y
_atom_site_fract_z
_atom_site_occupancy
Ca1 Ca 0.0000 0.0000 0.0000 1
Zr1 Zr 0.5000 0.5000 0.0000 1
Mn1 Mn 0.0000 0.5000 0.5000 1
Fe1 Fe 0.5000 0.5000 0.5000 1